This record from Alexandria describes Cs2InSiO4 after structural relaxation. The functional is PBE.

It has space group Fddd (No. 70, origin choice 2), with a = 5.575 Å, b = 12.790 Å, c = 23.264 Å, α = 90.00°, β = 90.00° and γ = 90.00°. Symmetry generates all atoms from Cs at (0.125, 0.125, 0.301), In at (0.125, 0.125, 0.125), Si at (0.125, 0.125, 0.625) and O at (0.058, 0.299, 0.836).

Its formation energy (no corrections) is -1.784 eV/atom.